No. 1
VASP calculation (PBE) on a geometry-optimized Tm2PaIn3Te6 structure.

For the energy relative to the elements, uncorrected, the calculation gives -0.78 eV/atom. Its crystal system is monoclinic.

It has space group C2/m (No. 12), with a = 7.529 Å, b = 13.035 Å, c = 8.620 Å, α = 90.00°, β = 106.93° and γ = 90.00°. The inequivalent atoms are Tm at (0.000, 0.167, 0.000), Pa at (0.000, 0.500, 0.000), In at (0.000, 0.000, 0.500), In at (0.000, 0.334, 0.500), Te at (0.236, 0.000, 0.218) and Te at (0.241, 0.331, 0.219).

---

No. 2
VASP calculation (PBE) on a geometry-optimized Y2PaIn3Te6 structure.

For the energy relative to the elements, uncorrected, the calculation gives -0.81 eV/atom. Its crystal system is monoclinic.

It has space group C2/m (No. 12), with a = 7.572 Å, b = 13.110 Å, c = 8.618 Å, α = 90.00°, β = 107.02° and γ = 90.00°. The inequivalent atoms are Y at (0.000, 0.167, 0.000), Pa at (0.000, 0.500, 0.000), In at (0.000, 0.000, 0.500), In at (0.000, 0.333, 0.500), Te at (0.240, 0.334, 0.221) and Te at (0.241, 0.000, 0.222).

---

No. 3
VASP calculation (PBE) on a geometry-optimized ThPa2In9 structure.

Its crystal system is tetragonal. For the energy of formation, the calculation gives -0.20 eV per atom.

It has space group P4/mmm (No. 123), with a = 4.677 Å, b = 4.677 Å, c = 14.042 Å, α = 90.00°, β = 90.00° and γ = 90.00°. The inequivalent atoms are Th at (0.000, 0.000, 0.000), Pa at (0.000, 0.000, 0.336), In at (0.000, 0.500, 0.172), In at (0.000, 0.500, 0.500), In at (0.500, 0.500, 0.000) and In at (0.500, 0.500, 0.336).

---

No. 4
VASP calculation (PBE) on a geometry-optimized ThPaIn structure.

Its crystal system is tetragonal. For the energy of formation, the calculation gives 0.10 eV per atom.

It has space group I4mm (No. 107), with a = 4.113 Å, b = 4.113 Å, c = 10.003 Å, α = 90.00°, β = 90.00° and γ = 90.00°. The inequivalent atoms are Th at (0.000, 0.000, 0.000), Pa at (0.000, 0.000, 0.691) and In at (0.000, 0.000, 0.343).

---

No. 5
VASP calculation (PBE) on a geometry-optimized ThPaIn structure.

Its crystal system is hexagonal. For the energy of formation, the calculation gives 0.18 eV per atom.

It has space group P-6m2 (No. 187), with a = 5.3722 Å, b = 5.3722 Å, c = 3.1639 Å, α = 90.00°, β = 90.00° and γ = 120.00°. The inequivalent atoms are Th at (0.0000, 0.0000, 0.0000), Pa at (0.3333, 0.6667, 0.0000) and In at (0.6667, 0.3333, 0.5000).

---

No. 6
VASP calculation (PBE) on a geometry-optimized ThPaIn structure.

Its crystal system is tetragonal. For the energy of formation, the calculation gives 0.03 eV per atom.

It has space group I4/mmm (No. 139), with a = 3.285 Å, b = 3.285 Å, c = 31.199 Å, α = 90.00°, β = 90.00° and γ = 90.00°. The inequivalent atoms are Th at (0.000, 0.000, 0.129), Pa at (0.000, 0.000, 0.288) and In at (0.000, 0.000, 0.454).

---

No. 7
VASP calculation (PBE) on a geometry-optimized Th2PaIn9 structure.

Its crystal system is tetragonal. For the energy of formation, the calculation gives -0.27 eV per atom.

It has space group P4/mmm (No. 123), with a = 4.709 Å, b = 4.709 Å, c = 14.125 Å, α = 90.00°, β = 90.00° and γ = 90.00°. The inequivalent atoms are Th at (0.000, 0.000, 0.169), Pa at (0.000, 0.000, 0.500), In at (0.000, 0.500, 0.000), In at (0.000, 0.500, 0.338), In at (0.500, 0.500, 0.169) and In at (0.500, 0.500, 0.500).

---

No. 8
VASP calculation (PBE) on a geometry-optimized ThPaIn structure.

Its crystal system is triclinic. For the energy of formation, the calculation gives -0.07 eV per atom.

It has space group P-1 (No. 2), with a = 3.351 Å, b = 5.777 Å, c = 9.032 Å, α = 72.51°, β = 79.44° and γ = 89.99°. The inequivalent atoms are Th at (0.088, 0.251, 0.324), Pa at (0.243, 0.762, 0.015) and In at (0.419, 0.248, 0.661).

---

No. 9
VASP calculation (PBE) on a geometry-optimized PaTi3In2 structure.

Its crystal system is tetragonal. For the energy of formation, the calculation gives -0.03 eV per atom.

It has space group P4/mmm (No. 123), with a = 3.372 Å, b = 3.372 Å, c = 10.440 Å, α = 90.00°, β = 90.00° and γ = 90.00°. The inequivalent atoms are Pa at (0.000, 0.000, 0.000), Ti at (0.500, 0.500, 0.149), Ti at (0.500, 0.500, 0.500) and In at (0.000, 0.000, 0.325).

---

No. 10
VASP calculation (PBE) on a geometry-optimized PaTi4In structure.

Its crystal system is cubic. For the energy of formation, the calculation gives 0.15 eV per atom.

It has space group F-43m (No. 216), with a = 7.794 Å, b = 7.794 Å, c = 7.794 Å, α = 90.00°, β = 90.00° and γ = 90.00°. The inequivalent atoms are Pa at (0.000, 0.000, 0.000), Ti at (0.127, 0.127, 0.373) and In at (0.250, 0.250, 0.750).

---

No. 11
VASP calculation (PBE) on a geometry-optimized PaTi4In5 structure.

Its crystal system is tetragonal. For the energy of formation, the calculation gives 0.21 eV per atom.

It has space group P4/mmm (No. 123), with a = 2.980 Å, b = 2.980 Å, c = 25.118 Å, α = 90.00°, β = 90.00° and γ = 90.00°. The inequivalent atoms are Pa at (0.000, 0.000, 0.000), Ti at (0.000, 0.000, 0.191), Ti at (0.000, 0.000, 0.296), In at (0.500, 0.500, 0.105), In at (0.500, 0.500, 0.380) and In at (0.500, 0.500, 0.500).

---

No. 12
VASP calculation (PBE) on a geometry-optimized Pa2TiIn8 structure.

Its crystal system is tetragonal. For the energy of formation, the calculation gives -0.09 eV per atom.

It has space group P4/mmm (No. 123), with a = 4.661 Å, b = 4.661 Å, c = 12.560 Å, α = 90.00°, β = 90.00° and γ = 90.00°. The inequivalent atoms are Pa at (0.000, 0.000, 0.186), Ti at (0.000, 0.000, 0.500), In at (0.000, 0.500, 0.000), In at (0.000, 0.500, 0.369) and In at (0.500, 0.500, 0.184).